ZnIn2Br | PBE-GGA | optimized geometry

Output
As for the uncorrected formation energy: 4.6 kJ/mol of atoms. The value obtained for the energy is -2.058 eV per atom.

The structure in extended XYZ format:
```
4
Lattice="0.000 3.796 3.796 3.796 0.000 3.796 3.796 3.796 0.000" Properties=species:S:1:pos:R:3 pbc="T T T"
Zn 0.000 0.000 0.000
In 1.898 1.898 1.898
In 3.796 3.796 3.796
Br 5.695 5.695 5.695
```